## Na4Er3MoO8 (GGA+U)

Data for Na4Er3MoO8 after structural relaxation.

a b c (Å): 6.6884 6.7681 6.6889
angles (deg): 119.60 120.00 90.00
With the nearest neighbours (Å) after each atom.
Positions (direct):
1 O 0.7418 0.7110 0.9764  1 Mo 2.24, 2 Er 2.27, 2 Na 2.50
2 O 0.7366 0.7098 0.4732  3 Er 2.26, 3 Na 2.52
3 O 0.2345 0.7110 0.4691  1 Mo 2.24, 2 Er 2.27, 2 Na 2.50
4 O 0.2634 0.2902 0.5268  3 Er 2.26, 3 Na 2.52
5 O 0.2345 0.7110 0.9764  1 Mo 2.24, 2 Er 2.27, 2 Na 2.50
6 O 0.7655 0.2890 0.5309  1 Mo 2.24, 2 Er 2.27, 2 Na 2.50
7 O 0.7655 0.2890 0.0236  1 Mo 2.24, 2 Er 2.27, 2 Na 2.50
8 O 0.2582 0.2890 0.0236  1 Mo 2.24, 2 Er 2.27, 2 Na 2.50
9 Er 0.0000 0.5000 0.5000  6 O 2.26-2.27
10 Er 0.5000 0.5000 0.5000  6 O 2.26-2.27
11 Er 0.5000 0.5000 0.0000  6 O 2.26-2.27
12 Mo 0.0000 0.5000 0.0000  6 O 2.24
13 Na 0.0000 0.0000 0.0000  6 O 2.50-2.52
14 Na 0.0000 0.0000 0.5000  6 O 2.50-2.52
15 Na 0.5000 0.0000 0.0000  6 O 2.53
16 Na 0.5000 0.0000 0.5000  6 O 2.50-2.52

**Crystal system**: trigonal
**Space-group type**: R-3m (166)
**Final energy**: -6.6575 eV/atom